1.
DFT (PBE) results for a geometry-optimized Cs3Tl5Au6 structure.

Structure (CIF):
```
data_Cs3Tl5Au6
_symmetry_space_group_name_H-M 'I m m m'
_symmetry_Int_Tables_number 71
_symmetry_space_group_name_Hall '-I 2 2'
_cell_length_a 4.863
_cell_length_b 12.567
_cell_length_c 14.515
_cell_angle_alpha 90.00
_cell_angle_beta 90.00
_cell_angle_gamma 90.00
loop_
_atom_site_label
_atom_site_fract_x
_atom_site_fract_y
_atom_site_fract_z
Cs1 0.000 0.000 0.000
Cs2 0.000 0.000 0.297
Tl1 0.000 0.321 0.327
Tl2 0.000 0.500 0.000
Au1 0.000 0.182 0.500
Au2 0.000 0.289 0.109
```

Output
- total moment (Bohr magnetons per cell) = 0.0
- total DFT energy (no corrections) (eV per atom) = -2.598
- formation enthalpy at 0 K (eV/atom) = -0.17

2.
DFT (PBE) results for a geometry-optimized Cs3Tl6Au5 structure.

Structure (CIF):
```
data_Cs3Tl6Au5
_symmetry_space_group_name_H-M 'P m m n'
_symmetry_Int_Tables_number 59
_cell_length_a 4.748
_cell_length_b 15.461
_cell_length_c 12.884
_cell_angle_alpha 90.00
_cell_angle_beta 90.00
_cell_angle_gamma 90.00
loop_
_symmetry_equiv_pos_as_xyz
'x,y,z'
'-x,-y,-z'
'-x+1/2,-y+1/2,z'
'x+1/2,y+1/2,-z'
'x+1/2,-y,-z'
'-x+1/2,y,z'
'-x,y+1/2,-z'
'x,-y+1/2,z'
loop_
_atom_site_label
_atom_site_fract_x
_atom_site_fract_y
_atom_site_fract_z
Cs1 0.250 0.103 0.241
Cs2 0.250 0.750 0.276
Tl1 0.250 0.053 0.597
Tl2 0.250 0.250 0.477
Tl3 0.250 0.250 0.954
Tl4 0.250 0.577 0.021
Au1 0.250 0.075 0.834
Au2 0.250 0.631 0.519
Au3 0.250 0.750 0.916
```

Output
- total moment (Bohr magnetons per cell) = 0.0
- total DFT energy (no corrections) (eV per atom) = -2.513
- formation enthalpy at 0 K (eV/atom) = -0.15

3.
DFT (PBE) results for a geometry-optimized Cs4Tl3Au structure.

Structure (CIF):
```
data_Cs4Tl3Au
_symmetry_space_group_name_H-M 'P m m 2'
_symmetry_Int_Tables_number 25
_cell_length_a 5.297
_cell_length_b 5.813
_cell_length_c 13.572
_cell_angle_alpha 90.00
_cell_angle_beta 90.00
_cell_angle_gamma 90.00
loop_
_symmetry_equiv_pos_as_xyz
'x,y,z'
'-x,-y,z'
'-x,y,z'
'x,-y,z'
loop_
_atom_site_label
_atom_site_fract_x
_atom_site_fract_y
_atom_site_fract_z
Cs1 0.000 0.000 0.000
Cs2 0.000 0.500 0.468
Cs3 0.500 0.000 0.684
Cs4 0.500 0.500 0.184
Tl1 0.000 0.500 0.785
Tl2 0.500 0.000 0.375
Tl3 0.500 0.500 0.891
Au1 0.000 0.000 0.284
```

Output
- total moment (Bohr magnetons per cell) = 0.0
- total DFT energy (no corrections) (eV per atom) = -1.841
- formation enthalpy at 0 K (eV/atom) = -0.12

4.
DFT (PBE) results for a geometry-optimized CsTlAu3 structure.

Structure (CIF):
```
data_CsTlAu3
_symmetry_space_group_name_H-M 'P m -3 m'
_symmetry_Int_Tables_number 221
_symmetry_space_group_name_Hall '-P 4 2 3'
_cell_length_a 5.513
_cell_length_b 5.513
_cell_length_c 5.513
_cell_angle_alpha 90.00
_cell_angle_beta 90.00
_cell_angle_gamma 90.00
loop_
_atom_site_label
_atom_site_fract_x
_atom_site_fract_y
_atom_site_fract_z
Cs1 0.000 0.000 0.000
Tl1 0.500 0.500 0.500
Au1 0.000 0.500 0.500
```

Output
- total moment (Bohr magnetons per cell) = 0.0
- total DFT energy (no corrections) (eV per atom) = -2.592
- formation enthalpy at 0 K (eV/atom) = 0.02